# Li3Pm2SmS6

A geometry-optimized Li3Pm2SmS6 structure (GGA-PBE, the Alexandria database).

```
data_Li3Pm2SmS6
_chemical_formula_sum 'Li6 Pm4 Sm2 S12'
_space_group_name_H-M_alt 'C 1 2/m 1'
_space_group_IT_number 12
_space_group_name_Hall '-C 2y'
_cell_length_a 6.965
_cell_length_b 12.067
_cell_length_c 6.622
_cell_angle_alpha 90.00
_cell_angle_beta 110.50
_cell_angle_gamma 90.00
loop_
_atom_site_label
_atom_site_type_symbol
_atom_site_fract_x
_atom_site_fract_y
_atom_site_fract_z
Li1 Li 0.000 0.000 0.000
Li2 Li 0.000 0.334 0.000
Pm1 Pm 0.000 0.167 0.500
Sm1 Sm 0.000 0.500 0.500
S1 S 0.247 0.500 0.245
S2 S 0.249 0.166 0.245
```

Energy relative to the elements, uncorrected   -1.800 eV per atom
M_tot   0.0 μB per formula unit
DOS(E_F)   0.000 states/eV/atom
Calculated volume   21.7 A^3/atom
Electronic total energy   -5.5270 eV/atom